PBE-GGA Li2Hf2Mo, relaxed; energy of formation from the pure elements = 0.25 eV/atom; distance to the lowest polymorph of the same formula = 0 meV/atom; uncorrected energy = -6.66 eV/atom
1.0
-0.872 -3.032 -1.170
2.751 -0.044 -1.938
5.401 -5.297 4.864
Mo Hf Li
1 2 2
Direct
0.000 0.000 0.000
0.413 0.413 0.174
0.587 0.587 0.826
0.750 0.250 0.500
0.250 0.750 0.500

PBE-GGA Ho4Cu2Rh, relaxed; energy of formation from the pure elements = -0.33 eV/atom; uncorrected energy = -5.17 eV/atom
1.0
4.635 0.000 1.448
2.091 4.136 1.448
-0.063 -0.039 8.345
Rh Cu Ho
1 2 4
Direct
0.000 0.000 0.000
0.250 0.250 0.251
0.750 0.750 0.749
0.625 0.625 0.125
0.124 0.124 0.628
0.375 0.375 0.875
0.876 0.876 0.372

PBE-GGA MnP2Se, relaxed; formation energy from raw total energies = 0.5158 eV/atom; uncorrected energy = -5.35 eV/atom
1.0
-1.818 -3.770 1.810
-0.486 -1.769 -4.175
2.758 -1.233 0.201
Se Mn P
1 1 2
Direct
0.500 0.000 0.500
0.000 0.500 0.500
0.500 0.500 0.000
0.000 0.000 0.000

PBE-GGA BaPRu2, relaxed; energy of formation from the pure elements = 0.25 eV/atom; uncorrected energy = -6.22 eV/atom
1.0
-1.720 2.927 4.281
1.720 -2.927 4.281
1.720 2.927 -4.281
Ru P Ba
2 1 1
Direct
0.670 0.670 0.000
0.330 0.330 0.000
0.500 0.000 0.500
0.000 0.500 0.500

PBE-GGA SrPd2I, relaxed; formation energy from raw total energies = -0.2946 eV/atom; distance to the lowest polymorph of the same formula = 0 meV/atom; uncorrected energy = -3.70 eV/atom
1.0
4.667 0.000 0.000
0.000 4.667 0.000
2.334 2.334 9.817
I Pd Sr
2 4 2
Direct
0.750 0.250 0.500
0.000 0.000 0.000
0.375 0.293 0.750
0.875 0.957 0.750
0.707 0.125 0.250
0.043 0.625 0.250
0.500 0.500 0.000
0.250 0.750 0.500

PBE-GGA NaSn2MoPd, relaxed; energy of formation from the pure elements = 0.67 eV/atom; uncorrected energy = -4.40 eV/atom
1.0
5.157 0.000 0.000
0.000 5.321 0.000
0.000 0.000 5.157
Sn Pd Mo Na
2 1 1 1
Direct
0.000 0.000 0.500
0.500 0.000 0.000
0.000 0.000 0.000
0.000 0.500 0.000
0.500 0.500 0.500